# 1
# LiNiGe2 (PBE-GGA, optimized geometry)
data_LiNiGe2
_symmetry_space_group_name_H-M 'F -4 3 m'
_symmetry_Int_Tables_number 216
_symmetry_space_group_name_Hall 'F -4 2 3'
_cell_length_a 6.1541
_cell_length_b 6.1541
_cell_length_c 6.1541
_cell_angle_alpha 90.00
_cell_angle_beta 90.00
_cell_angle_gamma 90.00
loop_
_atom_site_label
_atom_site_type_symbol
_atom_site_fract_x
_atom_site_fract_y
_atom_site_fract_z
Li1 Li 0.0000 0.0000 0.0000
Ni1 Ni 0.2500 0.2500 0.7500
Ge1 Ge 0.0000 0.0000 0.5000
Ge2 Ge 0.2500 0.2500 0.2500
# E = -66.61 eV for the cell shown

# 2
# LiNi2Ge (PBE-GGA, optimized geometry)
data_LiNi2Ge
_symmetry_space_group_name_H-M 'P 63/m m c'
_symmetry_Int_Tables_number 194
_symmetry_space_group_name_Hall '-P 6c 2c'
_cell_length_a 3.9463
_cell_length_b 3.9463
_cell_length_c 7.1934
_cell_angle_alpha 90.00
_cell_angle_beta 90.00
_cell_angle_gamma 120.00
loop_
_atom_site_label
_atom_site_type_symbol
_atom_site_fract_x
_atom_site_fract_y
_atom_site_fract_z
Li1 Li 0.3333 0.6667 0.2500
Ni1 Ni 0.3333 0.6667 0.5837
Ge1 Ge 0.0000 0.0000 0.2500
# E = -35.36 eV for the cell shown

# 3
# LiNi3Ge5 (PBE-GGA, optimized geometry)
data_LiNi3Ge5
_symmetry_space_group_name_H-M 'P 6/m m m'
_symmetry_Int_Tables_number 191
_symmetry_space_group_name_Hall '-P 6 2'
_cell_length_a 4.8549
_cell_length_b 4.8549
_cell_length_c 7.0638
_cell_angle_alpha 90.00
_cell_angle_beta 90.00
_cell_angle_gamma 120.00
loop_
_atom_site_label
_atom_site_type_symbol
_atom_site_fract_x
_atom_site_fract_y
_atom_site_fract_z
Li1 Li 0.0000 0.0000 0.0000
Ni1 Ni 0.0000 0.5000 0.5000
Ge1 Ge 0.0000 0.0000 0.5000
Ge2 Ge 0.3333 0.6667 0.1986
# E = -42.78 eV for the cell shown

# 4
# LiNi2Ge (PBE-GGA, optimized geometry)
data_LiNi2Ge
_symmetry_space_group_name_H-M 'P 63/m m c'
_symmetry_Int_Tables_number 194
_symmetry_space_group_name_Hall '-P 6c 2c'
_cell_length_a 4.0169
_cell_length_b 4.0169
_cell_length_c 7.0675
_cell_angle_alpha 90.00
_cell_angle_beta 90.00
_cell_angle_gamma 120.00
loop_
_atom_site_label
_atom_site_type_symbol
_atom_site_fract_x
_atom_site_fract_y
_atom_site_fract_z
Li1 Li 0.0000 0.0000 0.0000
Ni1 Ni 0.3333 0.6667 0.0863
Ge1 Ge 0.3333 0.6667 0.7500
# E = -37.39 eV for the cell shown

# 5
# LiNi2Ge (PBE-GGA, optimized geometry)
data_LiNi2Ge
_symmetry_space_group_name_H-M 'P 63/m m c'
_symmetry_Int_Tables_number 194
_symmetry_space_group_name_Hall '-P 6c 2c'
_cell_length_a 4.0104
_cell_length_b 4.0104
_cell_length_c 7.4621
_cell_angle_alpha 90.00
_cell_angle_beta 90.00
_cell_angle_gamma 120.00
loop_
_atom_site_label
_atom_site_type_symbol
_atom_site_fract_x
_atom_site_fract_y
_atom_site_fract_z
Li1 Li 0.3333 0.6667 0.2500
Ni1 Ni 0.3333 0.6667 0.5760
Ge1 Ge 0.0000 0.0000 0.0000
# E = -37.35 eV for the cell shown

# 6
# Li4Ni2GePb (PBE-GGA, optimized geometry)
data_Li4Ni2GePb
_symmetry_space_group_name_H-M 'P -4 m 2'
_symmetry_Int_Tables_number 115
_symmetry_space_group_name_Hall 'P -4 -2'
_cell_length_a 4.2375
_cell_length_b 4.2375
_cell_length_c 6.1787
_cell_angle_alpha 90.00
_cell_angle_beta 90.00
_cell_angle_gamma 90.00
loop_
_atom_site_label
_atom_site_type_symbol
_atom_site_fract_x
_atom_site_fract_y
_atom_site_fract_z
Li1 Li 0.0000 0.0000 0.0000
Li2 Li 0.0000 0.5000 0.2251
Li3 Li 0.5000 0.5000 0.5000
Ni1 Ni 0.0000 0.5000 0.7822
Ge1 Ge 0.5000 0.5000 0.0000
Pb1 Pb 0.0000 0.0000 0.5000
# E = -29.33 eV for the cell shown

# 7
# Li2NiGe2Pd (PBE-GGA, optimized geometry)
data_Li2NiGe2Pd
_symmetry_space_group_name_H-M 'P -6 m 2'
_symmetry_Int_Tables_number 187
_symmetry_space_group_name_Hall 'P -6 2'
_cell_length_a 4.2852
_cell_length_b 4.2852
_cell_length_c 5.2693
_cell_angle_alpha 90.00
_cell_angle_beta 90.00
_cell_angle_gamma 120.00
loop_
_atom_site_label
_atom_site_type_symbol
_atom_site_fract_x
_atom_site_fract_y
_atom_site_fract_z
Li1 Li 0.0000 0.0000 0.2469
Ni1 Ni 0.6667 0.3333 0.0000
Ge1 Ge 0.3333 0.6667 0.0000
Ge2 Ge 0.6667 0.3333 0.5000
Pd1 Pd 0.3333 0.6667 0.5000
# E = -26.44 eV for the cell shown

# 8
# Li4NiGePd2 (PBE-GGA, optimized geometry)
data_Li4NiGePd2
_symmetry_space_group_name_H-M 'P -4 m 2'
_symmetry_Int_Tables_number 115
_symmetry_space_group_name_Hall 'P -4 -2'
_cell_length_a 4.2719
_cell_length_b 4.2719
_cell_length_c 5.8924
_cell_angle_alpha 90.00
_cell_angle_beta 90.00
_cell_angle_gamma 90.00
loop_
_atom_site_label
_atom_site_type_symbol
_atom_site_fract_x
_atom_site_fract_y
_atom_site_fract_z
Li1 Li 0.0000 0.0000 0.0000
Li2 Li 0.0000 0.5000 0.2383
Li3 Li 0.5000 0.5000 0.5000
Ni1 Ni 0.5000 0.5000 0.0000
Ge1 Ge 0.0000 0.0000 0.5000
Pd1 Pd 0.0000 0.5000 0.7440
# E = -31.11 eV for the cell shown

# 9
# Li2Sc2NiGe2Pd (PBE-GGA, optimized geometry)
data_Li2Sc2NiGe2Pd
_symmetry_space_group_name_H-M 'P -4 m 2'
_symmetry_Int_Tables_number 115
_symmetry_space_group_name_Hall 'P -4 -2'
_cell_length_a 4.3551
_cell_length_b 4.3551
_cell_length_c 6.2023
_cell_angle_alpha 90.00
_cell_angle_beta 90.00
_cell_angle_gamma 90.00
loop_
_atom_site_label
_atom_site_type_symbol
_atom_site_fract_x
_atom_site_fract_y
_atom_site_fract_z
Li1 Li 0.0000 0.0000 0.0000
Li2 Li 0.5000 0.5000 0.5000
Sc1 Sc 0.0000 0.5000 0.2391
Ni1 Ni 0.5000 0.5000 0.0000
Ge1 Ge 0.0000 0.5000 0.7603
Pd1 Pd 0.0000 0.0000 0.5000
# E = -41.99 eV for the cell shown

# 10
# LiPrNi2Ge2 (PBE-GGA, optimized geometry)
data_LiPrNi2Ge2
_symmetry_space_group_name_H-M 'P -3 m 1'
_symmetry_Int_Tables_number 164
_symmetry_space_group_name_Hall '-P 3 2"'
_cell_length_a 4.1048
_cell_length_b 4.1048
_cell_length_c 6.7946
_cell_angle_alpha 90.00
_cell_angle_beta 90.00
_cell_angle_gamma 120.00
loop_
_atom_site_label
_atom_site_type_symbol
_atom_site_fract_x
_atom_site_fract_y
_atom_site_fract_z
Li1 Li 0.0000 0.0000 0.0000
Pr1 Pr 0.0000 0.0000 0.5000
Ni1 Ni 0.3333 0.6667 0.1430
Ge1 Ge 0.3333 0.6667 0.7914
# E = -30.74 eV for the cell shown

# 11
# Li2Sc2NiGe2Pt (PBE-GGA, optimized geometry)
data_Li2Sc2NiGe2Pt
_symmetry_space_group_name_H-M 'P -4 m 2'
_symmetry_Int_Tables_number 115
_symmetry_space_group_name_Hall 'P -4 -2'
_cell_length_a 4.3591
_cell_length_b 4.3591
_cell_length_c 6.1987
_cell_angle_alpha 90.00
_cell_angle_beta 90.00
_cell_angle_gamma 90.00
loop_
_atom_site_label
_atom_site_type_symbol
_atom_site_fract_x
_atom_site_fract_y
_atom_site_fract_z
Li1 Li 0.0000 0.0000 0.0000
Li2 Li 0.5000 0.5000 0.5000
Sc1 Sc 0.0000 0.5000 0.2394
Ni1 Ni 0.5000 0.5000 0.0000
Ge1 Ge 0.0000 0.5000 0.7610
Pt1 Pt 0.0000 0.0000 0.5000
# E = -43.39 eV for the cell shown

# 12
# LiScNiGe (PBE-GGA, optimized geometry)
data_LiScNiGe
_symmetry_space_group_name_H-M 'F -4 3 m'
_symmetry_Int_Tables_number 216
_symmetry_space_group_name_Hall 'F -4 2 3'
_cell_length_a 6.2356
_cell_length_b 6.2356
_cell_length_c 6.2356
_cell_angle_alpha 90.00
_cell_angle_beta 90.00
_cell_angle_gamma 90.00
loop_
_atom_site_label
_atom_site_type_symbol
_atom_site_fract_x
_atom_site_fract_y
_atom_site_fract_z
Li1 Li 0.0000 0.0000 0.0000
Sc1 Sc 0.0000 0.0000 0.5000
Ni1 Ni 0.2500 0.2500 0.7500
Ge1 Ge 0.2500 0.2500 0.2500
# E above lowest polymorph = 0.87 eV/f.u.
# E = -80.28 eV for the cell shown